(1)
YSN3 | GGA-PBE | optimized geometry

It has space group Pm-3m (No. 221), with a = 4.535 Å, b = 4.535 Å, c = 4.535 Å, α = 90.00°, β = 90.00° and γ = 90.00°. The asymmetric unit holds Y at (0.000, 0.000, 0.000), S at (0.500, 0.500, 0.500) and N at (0.000, 0.000, 0.500).

Its total DFT energy (no corrections) is -5.24 eV per atom.

(2)
ZrHAuBr2 | GGA-PBE | optimized geometry

It has space group P4/mmm (No. 123), with a = 5.314 Å, b = 5.314 Å, c = 5.418 Å, α = 90.00°, β = 90.00° and γ = 90.00°. The asymmetric unit holds Zr at (0.000, 0.000, 0.000), H at (0.500, 0.500, 0.500), Au at (0.000, 0.000, 0.500) and Br at (0.000, 0.500, 0.000).

Its total DFT energy (no corrections) is -3.69 eV per atom.

(3)
LaSc2Se | GGA-PBE | optimized geometry

It has space group R-3m (No. 166, hexagonal axes), with a = 3.5638 Å, b = 3.5638 Å, c = 29.5464 Å, α = 90.00°, β = 90.00° and γ = 120.00°. The asymmetric unit holds La at (0.0000, 0.0000, 0.0000), Sc at (0.0000, 0.0000, 0.1104) and Se at (0.0000, 0.0000, 0.5000).

Its total DFT energy (no corrections) is -5.81 eV per atom.